Computed, not measured: RbRhBr2 after structural relaxation at the PBE-GGA level of DFT.

Calculated values
E_tot	-3.218	eV/atom
ΔE_f (raw)	-0.302	eV per atom
space group	R-3m

Cell: 5.282 5.282 24.445 Å, 90.00 90.00 120.00°
Sites, in units of the cell vectors:
1 Rb 0.000 0.000 0.000
2 Rb 0.333 0.667 0.667
3 Rb 0.667 0.333 0.333
4 Rh 0.000 0.000 0.500
5 Rh 0.333 0.667 0.167
6 Rh 0.667 0.333 0.833
7 Br 0.000 0.000 0.400
8 Br 0.000 0.000 0.600
9 Br 0.333 0.667 0.067
10 Br 0.333 0.667 0.266
11 Br 0.667 0.333 0.734
12 Br 0.667 0.333 0.933